Here is a relaxed structure of NiGe2Ir from OQMD via LeMat-Bulk. Energies are from PBE.

The space group is Pmn2_1 (No. 31) and the conventional cell measures 3.568, 5.427 and 6.157 Å, with angles of 90.00, 90.00 and 90.00 degrees. The asymmetric unit holds Ni at (0.000, 0.248, 0.000), Ge at (0.000, 0.055, 0.389), Ge at (0.000, 0.563, 0.719) and Ir at (0.000, 0.746, 0.105).

The calculation puts the total magnetization at 0.00 μB per atom. The total energy comes out at -50.1 eV for the cell shown. As for the crystal system: orthorhombic.